Entry 1:
Computed, not measured: an optimized crystal structure of Mn2CuOs2 at the PBE-GGA level of DFT.

Summary:
DFT formation energy in eV per atom: 0.30
Distance to the lowest polymorph of the same formula in eV per formula unit: 0.00
Crystal system: tetragonal
Electronic total energy in eV for the cell shown: -86.8

abc: 7.123 7.123 2.634
angles: 90.00 90.00 90.00
Space group P4/mbm (No. 127)
One atom of each set of equivalent atoms:
Mn 0.122 0.378 0.000 [4 per cell]
Cu 0.000 0.000 0.000 [2 per cell]
Os 0.168 0.668 0.500 [4 per cell]

=====

Entry 2:
Computed, not measured: an optimized crystal structure of MnCuOs at the PBE-GGA level of DFT.

Summary:
DFT formation energy in eV per atom: 0.24
Distance to the lowest polymorph of the same formula in eV per formula unit: 0.13
Crystal system: tetragonal
Electronic total energy in eV for the cell shown: -47.5

abc: 2.699 2.699 10.553
angles: 90.00 90.00 90.00
Space group I4mm (No. 107)
One atom of each set of equivalent atoms:
Mn 0.000 0.000 0.000 [2 per cell]
Cu 0.000 0.000 0.667 [2 per cell]
Os 0.000 0.000 0.346 [2 per cell]

=====

Entry 3:
Computed, not measured: an optimized crystal structure of Mn2CuOs2 at the PBE-GGA level of DFT.

Summary:
DFT formation energy in eV per atom: 0.32
Distance to the lowest polymorph of the same formula in eV per formula unit: 0.13
Crystal system: tetragonal
Electronic total energy in eV for the cell shown: -86.6

abc: 7.210 7.210 2.632
angles: 90.00 90.00 90.00
Space group P4/mbm (No. 127)
One atom of each set of equivalent atoms:
Mn 0.164 0.336 0.000 [4 per cell]
Cu 0.000 0.000 0.500 [2 per cell]
Os 0.130 0.630 0.500 [4 per cell]

=====

- Which value of electronic total energy does entry 2 give?
  -47.5 eV for the cell shown

=====

- What is the distance to the lowest polymorph of the same formula in the first record?
  0.00 eV per formula unit

=====

- Which of these has the highest electronic total energy?
  MnCuOs

=====

- distance to the lowest polymorph of the same formula of number 2 (MnCuOs)?
  0.13 eV per formula unit